The following is a PBE-GGA calculation of a relaxed structure of Rb2BiP2, from the Alexandria database.

## Properties
Space-group type   P4/mbm (127)
Formation energy from the elements   -4.98 kcal/mol of atoms
Fermi-level density of states   6.2 states/eV per cell
Calculated total energy   -17.7 eV per formula unit

a b c (Å): 7.4434 7.4434 5.5359
angles (deg): 90.00 90.00 90.00
With the nearest neighbours (Å) after each atom.
Fractional positions:
Rb  0.1818  0.3182  0.0000  6 P 3.54-3.57, 5 Rb 3.83-3.86, 4 Bi 3.89
Rb  0.3182  0.8182  0.0000  6 P 3.54-3.57, 5 Rb 3.83-3.86, 4 Bi 3.89
Rb  0.6818  0.1818  0.0000  6 P 3.54-3.57, 5 Rb 3.83-3.86, 4 Bi 3.89
Rb  0.8182  0.6818  0.0000  6 P 3.54-3.57, 5 Rb 3.83-3.86, 4 Bi 3.89
Bi  0.0000  0.0000  0.5000  4 P 3.05
Bi  0.5000  0.5000  0.5000  4 P 3.05
P  0.1033  0.6033  0.5000  1 P 2.18
P  0.3967  0.1033  0.5000  1 P 2.18
P  0.6033  0.8967  0.5000  1 P 2.18
P  0.8967  0.3967  0.5000  1 P 2.18